Record 1
Compound: NaTcS2
Source: the Alexandria database
Functional: PBE-GGA
Structure: optimized geometry

Cell and atoms, written as POSCAR:
```
NaTcS2
1.0
-1.9227 2.0547 -2.3088
-4.6380 -0.2764 3.6165
4.0351 4.6036 3.5897
Na S Tc
2 4 2
Direct
0.7521 0.2932 0.7938
0.7603 0.8117 0.8087
0.9251 0.6125 0.1372
0.3969 0.1059 0.0809
0.1161 0.9991 0.5214
0.5880 0.4924 0.4651
0.5078 0.8511 0.3037
0.0052 0.2538 0.2986
```

## Properties
symmetry: P-1
formation energy from raw total energies: -249 kJ/mol of formula units
energy: -45.0 eV per cell
crystal system: triclinic

Record 2
Compound: Na3TcS
Source: the Alexandria database
Functional: PBE-GGA
Structure: optimized geometry

Cell and atoms, written as POSCAR:
```
Na3TcS
1.0
-4.0036 3.4627 0.1762
-2.2042 -2.3342 -4.2122
-2.6763 -3.2575 3.2057
S Na Tc
1 3 1
Direct
0.0000 0.0000 0.0000
0.0000 0.5000 0.0000
0.0000 0.0000 0.5000
0.5000 0.0000 0.0000
0.5000 0.5000 0.5000
```

## Properties
symmetry: Pm-3m
formation energy from raw total energies: 223 kJ/mol of formula units
energy: -16.1 eV per cell
crystal system: cubic

Record 3
Compound: NaTc3S
Source: the Alexandria database
Functional: PBE-GGA
Structure: optimized geometry

Cell and atoms, written as POSCAR:
```
NaTc3S
1.0
4.5947 0.0000 0.0000
0.0000 4.5947 0.0000
0.0000 0.0000 4.5947
Tc S Na
3 1 1
Direct
0.0000 0.0000 0.5000
0.5000 0.0000 0.0000
0.0000 0.5000 0.0000
0.5000 0.5000 0.5000
0.0000 0.0000 0.0000
```

## Properties
symmetry: Pm-3m
formation energy from raw total energies: 1343 kJ/mol of formula units
energy: -22.6 eV per cell
crystal system: cubic

Record 4
Compound: NaTcS3
Source: the Alexandria database
Functional: PBE-GGA
Structure: optimized geometry

Cell and atoms, written as POSCAR:
```
NaTcS3
1.0
-4.5970 1.0607 1.0733
1.0024 -0.4260 4.7142
1.1279 4.7014 0.1850
Na S Tc
1 3 1
Direct
0.0000 0.0000 0.0000
0.0000 0.5000 0.0000
0.0000 0.0000 0.5000
0.5000 0.0000 0.0000
0.5000 0.5000 0.5000
```

## Properties
symmetry: Pm-3m
formation energy from raw total energies: 631 kJ/mol of formula units
energy: -17.5 eV per cell
crystal system: cubic